A geometry-optimized LaTmUO6 structure, computed with GGA-PBE.

```
LaTmUO6
1.0
5.784 0.000 0.000
-2.892 5.009 0.000
0.000 0.000 9.937
La Tm U O
2 2 2 12
Direct
0.000 0.000 0.000 La
0.000 0.000 0.500 La
0.333 0.667 0.250 Tm
0.667 0.333 0.750 Tm
0.333 0.667 0.750 U
0.667 0.333 0.250 U
0.018 0.365 0.639 O
0.018 0.653 0.861 O
0.347 0.365 0.861 O
0.347 0.982 0.639 O
0.365 0.018 0.139 O
0.365 0.347 0.361 O
0.635 0.653 0.639 O
0.635 0.982 0.861 O
0.653 0.018 0.361 O
0.653 0.635 0.139 O
0.982 0.347 0.139 O
0.982 0.635 0.361 O
```

Space-group type: P-31c
Total magnetic moment, μB/cell: 0.00
Calculated volume, A^3/atom: 16.00
E, eV per atom: -9.01